Entry from the Alexandria database: a geometry-optimized CrGeBiO5 structure (PBE with a Hubbard U).

Results
- DFT total energy: -6.718 eV/atom
- SG: C2/c
- M_tot: 3.0 μB per formula unit

The structure in CIF format:
```
data_CrGeBiO5
_chemical_formula_sum 'Cr2 Ge2 Bi2 O10'
_cell_length_a 5.689
_cell_length_b 5.689
_cell_length_c 7.208
_cell_angle_alpha 103.69
_cell_angle_beta 103.69
_cell_angle_gamma 106.87
_space_group_name_H-M_alt 'P 1'
_space_group_IT_number 1
_space_group_name_Hall 'P 1'
loop_
_atom_site_label
_atom_site_type_symbol
_atom_site_fract_x
_atom_site_fract_y
_atom_site_fract_z
_atom_site_occupancy
Ge1 Ge 0.678 0.322 0.250 1
Ge2 Ge 0.322 0.678 0.750 1
O1 O 0.682 0.101 0.393 1
O2 O 0.244 0.375 0.567 1
O3 O 0.899 0.318 0.107 1
O4 O 0.920 0.080 0.750 1
O5 O 0.625 0.756 0.933 1
O6 O 0.318 0.899 0.607 1
O7 O 0.375 0.244 0.067 1
O8 O 0.756 0.625 0.433 1
O9 O 0.080 0.920 0.250 1
O10 O 0.101 0.682 0.893 1
Cr1 Cr 0.000 0.000 0.500 1
Cr2 Cr 0.000 0.000 0.000 1
Bi1 Bi 0.316 0.684 0.250 1
Bi2 Bi 0.684 0.316 0.750 1
```